# DyY8Ho4 (PBE, optimized geometry)
# E_form   0.2193 eV/atom
data_DyY8Ho4
_chemical_formula_sum 'Dy3 Y24 Ho12'
_cell_length_a 7.2741
_cell_length_b 7.2741
_cell_length_c 27.4608
_cell_angle_alpha 90.00
_cell_angle_beta 90.00
_cell_angle_gamma 120.00
_symmetry_space_group_name_H-M 'R -3 m'
_symmetry_Int_Tables_number 166
_symmetry_space_group_name_Hall '-R 3 2"'
loop_
_atom_site_label
_atom_site_type_symbol
_atom_site_fract_x
_atom_site_fract_y
_atom_site_fract_z
Dy1 Dy 0.0000 0.0000 0.0000
Y1 Y 0.0000 0.0000 0.2847
Y2 Y 0.0332 0.5166 0.2667
Ho1 Ho 0.0000 0.0000 0.5000
Ho2 Ho 0.0000 0.5000 0.5000